First-principles (PBE) data for Pm3AlNi3 after structural relaxation, as listed in Alexandria via LeMat-Bulk.

It has space group P6_3/m (No. 176), with a = 8.4056 Å, b = 8.4056 Å, c = 5.5257 Å, α = 90.00°, β = 90.00° and γ = 120.00°. Symmetry generates all atoms from Pm at (0.0562, 0.3568, 0.2500), Al at (0.3333, 0.6667, 0.7500) and Ni at (0.0593, 0.3779, 0.7500).

The value obtained for the energy is -5.207 eV/atom. For the density, the calculation gives 6.27 g/cm3. The spin magnetization comes out at 0.00 μB/atom. The formation energy comes out at -1.11 eV/f.u. As for the polymorph energy (0 for the lowest one): 274 meV per atom.